Material: Sc4HgGeC
Method: DFT, PBE
State: relaxed

abc: 6.337 14.014 6.309
angles: 90.00 90.00 90.00
Space group Cmcm (No. 63)
Unique sites:
Sc  0.000  0.084  0.250 (multiplicity 4)
Sc  0.000  0.412  0.250 (multiplicity 4)
Sc  0.250  0.250  0.000 (multiplicity 8)
Hg  0.000  0.389  0.750 (multiplicity 4)
Ge  0.000  0.119  0.750 (multiplicity 4)
C  0.000  0.248  0.250 (multiplicity 4)

Calculated values
For the density of states at the Fermi level, the calculation gives 0.54 states/eV per atom. For the formation energy, the calculation gives -4.01 eV per formula unit.



Material: LiBeCu3
Method: DFT, PBE
State: relaxed

abc: 12.033 3.782 4.883
angles: 90.00 92.52 90.00
Space group C2/m (No. 12)
Unique sites:
Li  0.100  0.000  0.016 (multiplicity 4)
Be  0.204  0.500  0.346 (multiplicity 4)
Cu  0.007  0.500  0.257 (multiplicity 4)
Cu  0.110  0.000  0.518 (multiplicity 4)
Cu  0.207  0.500  0.832 (multiplicity 4)

Calculated values
For the density of states at the Fermi level, the calculation gives 0.29 states/eV per atom. For the formation energy, the calculation gives -0.18 eV per formula unit. For the energy above the most stable polymorph in this dataset, the calculation gives 0.00 kcal/mol of atoms.



Material: Zr2NiH6
Method: DFT, PBE
State: relaxed

abc: 4.641 4.641 6.620
angles: 90.00 90.00 90.00
Space group I4/mmm (No. 139)
Unique sites:
Zr  0.000  0.500  0.250 (multiplicity 4)
Ni  0.000  0.000  0.000 (multiplicity 2)
H  0.000  0.000  0.254 (multiplicity 4)
H  0.246  0.246  0.500 (multiplicity 8)

Calculated values
As for the total energy: -5.076 eV per atom. For the density of states at the Fermi level, the calculation gives 0.35 states/eV per atom.



Material: Mn2TlVRe
Method: DFT, PBE
State: relaxed

abc: 4.799 4.799 5.072
angles: 90.00 90.00 90.00
Space group P4/mmm (No. 123)
Unique sites:
Mn  0.000  0.500  0.000 (multiplicity 2)
Tl  0.000  0.000  0.000 (multiplicity 1)
V  0.500  0.500  0.500 (multiplicity 1)
Re  0.000  0.000  0.500 (multiplicity 1)

Calculated values
For the density of states at the Fermi level, the calculation gives 1.81 states/eV per atom. For the formation energy, the calculation gives 11.84 eV per formula unit.



Material: Y2TaOs
Method: DFT, PBE
State: relaxed

abc: 3.263 3.263 8.773
angles: 90.00 90.00 90.00
Space group P4mm (No. 99)
Unique sites:
Y  0.000  0.000  0.000 (multiplicity 1)
Y  0.500  0.500  0.366 (multiplicity 1)
Ta  0.500  0.500  0.747 (multiplicity 1)
Os  0.000  0.000  0.588 (multiplicity 1)

Calculated values
For the density of states at the Fermi level, the calculation gives 1.49 states/eV per atom. For the formation energy, the calculation gives -0.27 eV per formula unit. For the energy above the most stable polymorph in this dataset, the calculation gives 0.00 kcal/mol of atoms.



Material: Ti4Pt2N
Method: DFT, PBE
State: relaxed

abc: 4.067 4.067 12.956
angles: 90.00 90.00 90.00
Space group I4/mmm (No. 139)
Unique sites:
Ti  0.000  0.000  0.173 (multiplicity 4)
Ti  0.000  0.500  0.000 (multiplicity 4)
Pt  0.000  0.000  0.361 (multiplicity 4)
N  0.000  0.000  0.000 (multiplicity 2)

Calculated values
For the density of states at the Fermi level, the calculation gives 0.49 states/eV per atom. For the energy above the most stable polymorph in this dataset, the calculation gives 2.89 kcal/mol of atoms. As for the formation energy without anion corrections: -1.007 eV per atom.



Material: Tb2Pr6Zn
Method: DFT, PBE
State: relaxed

abc: 10.398 10.419 5.509
angles: 90.00 90.00 90.00
Space group Pnnm (No. 58)
Unique sites:
Tb  0.214  0.218  0.000 (multiplicity 4)
Pr  0.039  0.312  0.500 (multiplicity 4)
Pr  0.123  0.879  0.000 (multiplicity 4)
Pr  0.188  0.543  0.000 (multiplicity 4)
Zn  0.000  0.000  0.500 (multiplicity 2)

Calculated values
For the density of states at the Fermi level, the calculation gives 1.46 states/eV per atom. For the formation energy, the calculation gives 0.08 eV per formula unit.



Material: NaAc3Si2
Method: DFT, PBE
State: relaxed

abc: 7.398 14.969 7.827
angles: 90.00 90.00 90.00
Space group Ibam (No. 72)
Unique sites:
Na  0.000  0.000  0.000 (multiplicity 4)
Ac  0.000  0.225  0.250 (multiplicity 8)
Ac  0.000  0.500  0.250 (multiplicity 4)
Si  0.208  0.364  0.000 (multiplicity 8)

Calculated values
For the density of states at the Fermi level, the calculation gives 0.94 states/eV per atom. As for the formation energy without anion corrections: -0.235 eV per atom.



Material: KNa4Li
Method: DFT, PBE
State: relaxed

abc: 9.882 9.882 9.882
angles: 90.00 90.00 90.00
Space group F-43m (No. 216)
Unique sites:
K  0.000  0.000  0.000 (multiplicity 4)
Na  0.124  0.124  0.624 (multiplicity 16)
Li  0.250  0.250  0.250 (multiplicity 4)

Calculated values
For the density of states at the Fermi level, the calculation gives 0.46 states/eV per atom. For the formation energy, the calculation gives 0.44 eV per formula unit. For the energy above the most stable polymorph in this dataset, the calculation gives 0.55 kcal/mol of atoms.



Material: Sc2CuI
Method: DFT, PBE
State: relaxed

abc: 3.4275 3.4275 29.9716
angles: 90.00 90.00 120.00
Space group R-3m (No. 166, hexagonal axes)
Unique sites:
Sc  0.0000  0.0000  0.0880 (multiplicity 6)
Cu  0.0000  0.0000  0.0000 (multiplicity 3)
I  0.0000  0.0000  0.5000 (multiplicity 3)

Calculated values
For the density of states at the Fermi level, the calculation gives 0.85 states/eV per atom. For the energy above the most stable polymorph in this dataset, the calculation gives 13.02 kcal/mol of atoms. As for the formation energy without anion corrections: 0.345 eV per atom.



Material: Mg3AsN
Method: DFT, PBE
State: relaxed

abc: 12.171 4.151 6.942
angles: 90.00 97.89 90.00
Space group C2/m (No. 12)
Unique sites:
Mg  0.044  0.000  0.185 (multiplicity 4)
Mg  0.165  0.000  0.626 (multiplicity 4)
Mg  0.172  0.500  0.996 (multiplicity 4)
As  0.119  0.500  0.378 (multiplicity 4)
N  0.133  0.000  0.924 (multiplicity 4)

Calculated values
For the density of states at the Fermi level, the calculation gives 0.00 states/eV per atom. As for the formation energy without anion corrections: -0.552 eV per atom.



Material: TlReSe2
Method: DFT, PBE
State: relaxed

abc: 12.760 3.171 5.873
angles: 90.00 107.04 90.00
Space group Cm (No. 8)
Unique sites:
Tl  0.000  0.000  0.000 (multiplicity 2)
Re  0.193  0.500  0.365 (multiplicity 2)
Se  0.144  0.000  0.628 (multiplicity 2)
Se  0.332  0.000  0.332 (multiplicity 2)

Calculated values
For the density of states at the Fermi level, the calculation gives 0.46 states/eV per atom. For the energy above the most stable polymorph in this dataset, the calculation gives 3.90 kcal/mol of atoms. As for the formation energy without anion corrections: 0.172 eV per atom.



Material: MoAsOs2
Method: DFT, PBE
State: relaxed

abc: 2.845 4.130 5.264
angles: 90.00 104.62 90.00
Space group P2/m (No. 10)
Unique sites:
Mo  0.000  0.000  0.000 (multiplicity 1)
As  0.000  0.000  0.500 (multiplicity 1)
Os  0.369  0.500  0.741 (multiplicity 2)

Calculated values
For the density of states at the Fermi level, the calculation gives 0.62 states/eV per atom. For the formation energy, the calculation gives 0.90 eV per formula unit.



Material: HfTi3S
Method: DFT, PBE
State: relaxed

abc: 5.008 5.307 6.327
angles: 90.00 100.07 90.00
Space group P2_1/m (No. 11)
Unique sites:
Hf  0.130  0.250  0.403 (multiplicity 2)
Ti  0.019  0.750  0.078 (multiplicity 2)
Ti  0.424  0.507  0.795 (multiplicity 4)
S  0.313  0.750  0.443 (multiplicity 2)

Calculated values
For the density of states at the Fermi level, the calculation gives 1.10 states/eV per atom. For the energy above the most stable polymorph in this dataset, the calculation gives 0.00 kcal/mol of atoms. As for the formation energy without anion corrections: -0.532 eV per atom.



Material: ScNbN3
Method: DFT, PBE
State: relaxed

abc: 3.933 3.933 3.933
angles: 90.00 90.00 90.00
Space group Pm-3m (No. 221)
Unique sites:
Sc  0.000  0.000  0.000 (multiplicity 1)
Nb  0.500  0.500  0.500 (multiplicity 1)
N  0.000  0.000  0.500 (multiplicity 3)

Calculated values
For the density of states at the Fermi level, the calculation gives 0.70 states/eV per atom. As for the formation energy without anion corrections: 0.776 eV per atom.



Material: Tb5Sm12Sc2
Method: DFT, PBE
State: relaxed

abc: 19.076 7.409 9.899
angles: 90.00 116.89 90.00
Space group C2/m (No. 12)
Unique sites:
Tb  0.000  0.000  0.000 (multiplicity 2)
Tb  0.175  0.000  0.673 (multiplicity 4)
Tb  0.176  0.500  0.691 (multiplicity 4)
Sm  0.004  0.000  0.703 (multiplicity 4)
Sm  0.006  0.500  0.819 (multiplicity 4)
Sm  0.160  0.248  0.349 (multiplicity 8)
Sm  0.164  0.240  0.997 (multiplicity 8)
Sc  0.000  0.305  0.500 (multiplicity 4)

Calculated values
For the density of states at the Fermi level, the calculation gives 1.70 states/eV per atom. For the formation energy, the calculation gives 3.15 eV per formula unit. For the energy above the most stable polymorph in this dataset, the calculation gives 0.35 kcal/mol of atoms.



Material: LiCd2P2
Method: DFT, PBE
State: relaxed

abc: 4.170 4.170 12.335
angles: 90.00 90.00 90.00
Space group I4/mmm (No. 139)
Unique sites:
Li  0.000  0.000  0.000 (multiplicity 2)
Cd  0.000  0.000  0.390 (multiplicity 4)
P  0.000  0.500  0.250 (multiplicity 4)

Calculated values
For the density of states at the Fermi level, the calculation gives 0.23 states/eV per atom. For the formation energy, the calculation gives 0.71 eV per formula unit. For the energy above the most stable polymorph in this dataset, the calculation gives 3.10 kcal/mol of atoms.



Material: Ba8Li2Pt
Method: DFT, PBE
State: relaxed

abc: 21.636 6.322 8.132
angles: 90.00 107.94 90.00
Space group C2/m (No. 12)
Unique sites:
Ba  0.020  0.000  0.295 (multiplicity 4)
Ba  0.086  0.500  0.905 (multiplicity 4)
Ba  0.141  0.500  0.464 (multiplicity 4)
Ba  0.210  0.000  0.805 (multiplicity 4)
Li  0.182  0.000  0.227 (multiplicity 4)
Pt  0.000  0.500  0.500 (multiplicity 2)

Calculated values
For the density of states at the Fermi level, the calculation gives 1.18 states/eV per atom. For the formation energy, the calculation gives -1.15 eV per formula unit.



Material: BaAcTe3Au
Method: DFT, PBE
State: relaxed

abc: 9.588 4.683 10.409
angles: 90.00 100.67 90.00
Space group P2_1/m (No. 11)
Unique sites:
Ba  0.178  0.250  0.254 (multiplicity 2)
Ac  0.328  0.750  0.832 (multiplicity 2)
Te  0.090  0.250  0.873 (multiplicity 2)
Te  0.223  0.750  0.512 (multiplicity 2)
Te  0.422  0.750  0.162 (multiplicity 2)
Au  0.127  0.250  0.614 (multiplicity 2)

Calculated values
As for the formation energy without anion corrections: -1.284 eV per atom.



Material: RbMnAu2
Method: DFT, PBE
State: relaxed

abc: 5.454 5.454 17.863
angles: 90.00 90.00 90.00
Space group I4_1/amd (No. 141, origin choice 2)
Unique sites:
Rb  0.000  0.250  0.375 (multiplicity 4)
Mn  0.000  0.250  0.875 (multiplicity 4)
Au  0.000  0.000  0.000 (multiplicity 8)

Calculated values
For the density of states at the Fermi level, the calculation gives 0.71 states/eV per atom. For the formation energy, the calculation gives 0.57 eV per formula unit. For the energy above the most stable polymorph in this dataset, the calculation gives 0.00 kcal/mol of atoms.